No. 1
# BeMo2Br | Alexandria via LeMat-Bulk | PBE-GGA | relaxed
data_BeMo2Br
_cell_length_a 3.103
_cell_length_b 3.103
_cell_length_c 6.604
_cell_angle_alpha 90.00
_cell_angle_beta 90.00
_cell_angle_gamma 90.00
_space_group_name_H-M_alt 'P 1'
_space_group_IT_number 1
_space_group_name_Hall 'P 1'
loop_
_atom_site_label
_atom_site_fract_x
_atom_site_fract_y
_atom_site_fract_z
Be1 0.000 0.000 0.000
Mo1 0.500 0.500 0.179
Mo2 0.500 0.500 0.821
Br1 0.000 0.000 0.500
# energy above the lowest structure with this stoichiometry = 136 meV/atom
# ΔE_f (raw) = 0.450 eV/atom
# symmetry = No. 123

---

No. 2
# VP2Se2 | Alexandria via LeMat-Bulk | PBE-GGA | relaxed
data_VP2Se2
_cell_length_a 5.080
_cell_length_b 5.080
_cell_length_c 5.080
_cell_angle_alpha 118.34
_cell_angle_beta 118.34
_cell_angle_gamma 92.90
_space_group_name_H-M_alt 'P 1'
_space_group_IT_number 1
_space_group_name_Hall 'P 1'
loop_
_atom_site_label
_atom_site_fract_x
_atom_site_fract_y
_atom_site_fract_z
V1 0.000 0.000 0.000
P1 0.346 0.346 0.000
P2 0.654 0.654 0.000
Se1 0.250 0.750 0.500
Se2 0.750 0.250 0.500
# energy above the lowest structure with this stoichiometry = 171 meV/atom
# ΔE_f (raw) = 0.444 eV/atom
# symmetry = No. 139

---

No. 3
# Zr2CuSb | Alexandria via LeMat-Bulk | PBE-GGA | relaxed
data_Zr2CuSb
_cell_length_a 3.758
_cell_length_b 3.758
_cell_length_c 5.941
_cell_angle_alpha 90.00
_cell_angle_beta 90.00
_cell_angle_gamma 90.00
_space_group_name_H-M_alt 'P 1'
_space_group_IT_number 1
_space_group_name_Hall 'P 1'
loop_
_atom_site_label
_atom_site_fract_x
_atom_site_fract_y
_atom_site_fract_z
Zr1 0.000 0.000 0.000
Zr2 0.500 0.500 0.284
Cu1 0.000 0.000 0.495
Sb1 0.500 0.500 0.772
# ΔE_f (raw) = -0.261 eV/atom
# symmetry = No. 99

---

No. 4
# BeTlW2 | Alexandria via LeMat-Bulk | PBE-GGA | relaxed
data_BeTlW2
_cell_length_a 4.486
_cell_length_b 4.486
_cell_length_c 4.486
_cell_angle_alpha 60.00
_cell_angle_beta 60.00
_cell_angle_gamma 60.00
_space_group_name_H-M_alt 'P 1'
_space_group_IT_number 1
_space_group_name_Hall 'P 1'
loop_
_atom_site_label
_atom_site_fract_x
_atom_site_fract_y
_atom_site_fract_z
Be1 0.000 0.000 0.000
Tl1 0.500 0.500 0.500
W1 0.250 0.250 0.250
W2 0.750 0.750 0.750
# energy above the lowest structure with this stoichiometry = 634 meV/atom
# symmetry = No. 225
# ΔH_f (0 K) = 1.155 eV/atom